A relaxed structure of BeSb2Rh, computed with PBE.

Cell lengths 4.7504, 4.7504, 3.3543 Å; angles 90.00, 90.00, 102.89 degrees
Positions (direct):
Be1 0.5000 0.0000 0.5000
Rh1 0.0000 0.5000 0.5000
Sb1 0.0000 0.0000 0.0000
Sb2 0.5000 0.5000 0.0000

- E_form (uncorrected) (kJ/mol of atoms) = 25.36
- DOS(E_F) (states/eV/f.u.) = 1.5